TmScAlGa | GGA-PBE | optimized geometry

Output
Its total energy is -4.868 eV per atom. Its space-group type is F-43m, No. 216. The value obtained for the energy relative to the elements is -0.48 eV per atom. As for the magnetic moment: 0.000 μB/atom.

Cell and atoms, written as CIF:
```
data_TmScAlGa
_chemical_formula_sum 'Tm1 Sc1 Al1 Ga1'
_cell_length_a 4.8965
_cell_length_b 4.8965
_cell_length_c 4.8965
_cell_angle_alpha 60.00
_cell_angle_beta 60.00
_cell_angle_gamma 60.00
_space_group_name_H-M_alt 'P 1'
_space_group_IT_number 1
loop_
_space_group_symop_operation_xyz
'x,y,z'
loop_
_atom_site_label
_atom_site_fract_x
_atom_site_fract_y
_atom_site_fract_z
Tm1 0.0000 0.0000 0.0000
Sc1 0.5000 0.5000 0.5000
Al1 0.7500 0.7500 0.7500
Ga1 0.2500 0.2500 0.2500
```


ScAl2GaW | GGA-PBE | optimized geometry

Output
Its total energy is -4.892 eV per atom. Its space-group type is P4/mmm, No. 123. The value obtained for the energy relative to the elements is 1.07 eV per atom. As for the magnetic moment: 0.327 μB/atom.

Cell and atoms, written as CIF:
```
data_ScAl2GaW
_chemical_formula_sum 'Sc1 Al2 Ga1 W1'
_cell_length_a 4.5526
_cell_length_b 4.5526
_cell_length_c 4.9073
_cell_angle_alpha 90.00
_cell_angle_beta 90.00
_cell_angle_gamma 90.00
_space_group_name_H-M_alt 'P 1'
_space_group_IT_number 1
loop_
_space_group_symop_operation_xyz
'x,y,z'
loop_
_atom_site_label
_atom_site_fract_x
_atom_site_fract_y
_atom_site_fract_z
Sc1 0.0000 0.0000 0.0000
Al1 0.0000 0.5000 0.5000
Al2 0.5000 0.0000 0.5000
Ga1 0.0000 0.0000 0.5000
W1 0.5000 0.5000 0.0000
```


Repeat the first record exactly.
TmScAlGa | GGA-PBE | optimized geometry

Output
Its total energy is -4.868 eV per atom. Its space-group type is F-43m, No. 216. The value obtained for the energy relative to the elements is -0.48 eV per atom. As for the magnetic moment: 0.000 μB/atom.

Cell and atoms, written as CIF:
```
data_TmScAlGa
_chemical_formula_sum 'Tm1 Sc1 Al1 Ga1'
_cell_length_a 4.8965
_cell_length_b 4.8965
_cell_length_c 4.8965
_cell_angle_alpha 60.00
_cell_angle_beta 60.00
_cell_angle_gamma 60.00
_space_group_name_H-M_alt 'P 1'
_space_group_IT_number 1
loop_
_space_group_symop_operation_xyz
'x,y,z'
loop_
_atom_site_label
_atom_site_fract_x
_atom_site_fract_y
_atom_site_fract_z
Tm1 0.0000 0.0000 0.0000
Sc1 0.5000 0.5000 0.5000
Al1 0.7500 0.7500 0.7500
Ga1 0.2500 0.2500 0.2500
```